SmEr2Al3, relaxed, DFT PBE-GGA; ΔH_f (0 K) = -0.15 eV per atom; SG = No. 65
1.0
-5.8258 -1.0865 -0.4608
1.1971 -8.5515 5.0289
1.4956 7.3215 2.1663
Er Al Sm
4 6 2
Direct
0.8339 0.0837 0.1675 Er
0.1664 0.4163 0.8325 Er
0.8336 0.5837 0.1675 Er
0.1661 0.9163 0.8325 Er
0.5000 0.7500 0.0000 Al
0.0000 0.7500 0.0000 Al
0.0000 0.5000 0.5000 Al
0.0000 0.2500 0.0000 Al
0.5000 0.2500 0.0000 Al
0.0000 0.0000 0.5000 Al
0.5004 0.2500 0.5000 Sm
0.4996 0.7500 0.5000 Sm